Model P:
## TaZnB4 (PBE)

Data for an optimized crystal structure of TaZnB4.

Calculated values
Density ... 8.487 Mg/m³
Crystal system ... hexagonal

CIF file:
```
data_TaZnB4
_cell_length_a 3.029
_cell_length_b 3.029
_cell_length_c 7.130
_cell_angle_alpha 90.00
_cell_angle_beta 90.00
_cell_angle_gamma 120.00
_symmetry_space_group_name_H-M 'P 1'
_symmetry_Int_Tables_number 1
loop_
_symmetry_equiv_pos_as_xyz
'x,y,z'
loop_
_atom_site_label
_atom_site_type_symbol
_atom_site_fract_x
_atom_site_fract_y
_atom_site_fract_z
B1 B 0.667 0.333 0.240
B2 B 0.333 0.667 0.240
B3 B 0.667 0.333 0.760
B4 B 0.333 0.667 0.760
Ta1 Ta 0.000 0.000 0.000
Zn1 Zn 0.000 0.000 0.500
```

=====

Model Q:
## TaZnB4 (PBE)

Data for an optimized crystal structure of TaZnB4.

Calculated values
Density ... 8.668 Mg/m³
Crystal system ... orthorhombic

CIF file:
```
data_TaZnB4
_cell_length_a 4.622
_cell_length_b 4.622
_cell_length_c 4.622
_cell_angle_alpha 141.64
_cell_angle_beta 111.25
_cell_angle_gamma 81.58
_symmetry_space_group_name_H-M 'P 1'
_symmetry_Int_Tables_number 1
loop_
_symmetry_equiv_pos_as_xyz
'x,y,z'
loop_
_atom_site_label
_atom_site_type_symbol
_atom_site_fract_x
_atom_site_fract_y
_atom_site_fract_z
B1 B 0.585 0.251 0.334
B2 B 0.083 0.749 0.334
B3 B 0.917 0.251 0.666
B4 B 0.415 0.749 0.666
Ta1 Ta 0.000 0.000 0.000
Zn1 Zn 0.500 0.500 0.000
```

=====

In terms of stability, model P leads; the second structure lies 0.018 eV/atom higher.

=====

Model P:
## TbB4 (PBE)

Data for an optimized crystal structure of TbB4.

Calculated values
Density ... 4.443 Mg/m³
Crystal system ... tetragonal

CIF file:
```
data_TbB4
_cell_length_a 8.489
_cell_length_b 8.489
_cell_length_c 4.194
_cell_angle_alpha 90.00
_cell_angle_beta 90.00
_cell_angle_gamma 90.00
_symmetry_space_group_name_H-M 'P 1'
_symmetry_Int_Tables_number 1
loop_
_symmetry_equiv_pos_as_xyz
'x,y,z'
loop_
_atom_site_label
_atom_site_type_symbol
_atom_site_fract_x
_atom_site_fract_y
_atom_site_fract_z
B1 B 0.128 0.056 0.000
B2 B 0.944 0.128 0.000
B3 B 0.444 0.372 0.000
B4 B 0.628 0.444 0.000
B5 B 0.372 0.556 0.000
B6 B 0.556 0.628 0.000
B7 B 0.056 0.872 0.000
B8 B 0.872 0.944 0.000
B9 B 0.000 0.000 0.308
B10 B 0.500 0.500 0.308
B11 B 0.435 0.065 0.500
B12 B 0.935 0.435 0.500
B13 B 0.065 0.565 0.500
B14 B 0.565 0.935 0.500
B15 B 0.000 0.000 0.692
B16 B 0.500 0.500 0.692
Tb1 Tb 0.639 0.139 0.000
Tb2 Tb 0.139 0.361 0.000
Tb3 Tb 0.861 0.639 0.000
Tb4 Tb 0.361 0.861 0.000
```

=====

Model Q:
## TbB4 (PBE)

Data for an optimized crystal structure of TbB4.

Calculated values
Density ... 6.605 Mg/m³
Crystal system ... tetragonal

CIF file:
```
data_TbB4
_cell_length_a 7.107
_cell_length_b 7.107
_cell_length_c 4.025
_cell_angle_alpha 90.00
_cell_angle_beta 90.00
_cell_angle_gamma 90.00
_symmetry_space_group_name_H-M 'P 1'
_symmetry_Int_Tables_number 1
loop_
_symmetry_equiv_pos_as_xyz
'x,y,z'
loop_
_atom_site_label
_atom_site_type_symbol
_atom_site_fract_x
_atom_site_fract_y
_atom_site_fract_z
B1 B 0.000 0.000 0.203
B2 B 0.500 0.500 0.203
B3 B 0.176 0.039 0.500
B4 B 0.413 0.087 0.500
B5 B 0.961 0.176 0.500
B6 B 0.461 0.324 0.500
B7 B 0.913 0.413 0.500
B8 B 0.676 0.461 0.500
B9 B 0.324 0.539 0.500
B10 B 0.087 0.587 0.500
B11 B 0.539 0.676 0.500
B12 B 0.039 0.824 0.500
B13 B 0.587 0.913 0.500
B14 B 0.824 0.961 0.500
B15 B 0.000 0.000 0.797
B16 B 0.500 0.500 0.797
Tb1 Tb 0.682 0.182 0.000
Tb2 Tb 0.182 0.318 0.000
Tb3 Tb 0.818 0.682 0.000
Tb4 Tb 0.318 0.818 0.000
```

=====

In terms of stability, model Q leads; the second structure lies 1.141 eV/atom higher.

=====

Model P:
## TbThB4 (PBE)

Data for an optimized crystal structure of TbThB4.

Calculated values
Density ... 9.299 Mg/m³
Crystal system ... orthorhombic

CIF file:
```
data_TbThB4
_cell_length_a 5.247
_cell_length_b 5.247
_cell_length_c 5.247
_cell_angle_alpha 143.10
_cell_angle_beta 113.64
_cell_angle_gamma 78.42
_symmetry_space_group_name_H-M 'P 1'
_symmetry_Int_Tables_number 1
loop_
_symmetry_equiv_pos_as_xyz
'x,y,z'
loop_
_atom_site_label
_atom_site_type_symbol
_atom_site_fract_x
_atom_site_fract_y
_atom_site_fract_z
B1 B 0.584 0.251 0.333
B2 B 0.082 0.749 0.333
B3 B 0.918 0.251 0.667
B4 B 0.416 0.749 0.667
Tb1 Tb 0.000 0.000 0.000
Th1 Th 0.500 0.500 0.000
```

=====

Model Q:
## TbThB4 (PBE)

Data for an optimized crystal structure of TbThB4.

Calculated values
Density ... 9.359 Mg/m³
Crystal system ... hexagonal

CIF file:
```
data_TbThB4
_cell_length_a 3.307
_cell_length_b 3.307
_cell_length_c 8.134
_cell_angle_alpha 90.00
_cell_angle_beta 90.00
_cell_angle_gamma 120.00
_symmetry_space_group_name_H-M 'P 1'
_symmetry_Int_Tables_number 1
loop_
_symmetry_equiv_pos_as_xyz
'x,y,z'
loop_
_atom_site_label
_atom_site_type_symbol
_atom_site_fract_x
_atom_site_fract_y
_atom_site_fract_z
B1 B 0.667 0.333 0.261
B2 B 0.333 0.667 0.261
B3 B 0.667 0.333 0.739
B4 B 0.333 0.667 0.739
Tb1 Tb 0.000 0.000 0.500
Th1 Th 0.000 0.000 0.000
```

=====

In terms of stability, model Q leads; the second structure lies 0.027 eV/atom higher.

=====

Model P:
## TbTlB4 (PBE)

Data for an optimized crystal structure of TbTlB4.

Calculated values
Density ... 9.182 Mg/m³
Crystal system ... orthorhombic

CIF file:
```
data_TbTlB4
_cell_length_a 5.280
_cell_length_b 5.280
_cell_length_c 5.280
_cell_angle_alpha 144.38
_cell_angle_beta 119.13
_cell_angle_gamma 72.56
_symmetry_space_group_name_H-M 'P 1'
_symmetry_Int_Tables_number 1
loop_
_symmetry_equiv_pos_as_xyz
'x,y,z'
loop_
_atom_site_label
_atom_site_type_symbol
_atom_site_fract_x
_atom_site_fract_y
_atom_site_fract_z
B1 B 0.587 0.262 0.325
B2 B 0.063 0.738 0.325
B3 B 0.937 0.262 0.675
B4 B 0.413 0.738 0.675
Tb1 Tb 0.000 0.000 0.000
Tl1 Tl 0.500 0.500 0.000
```

=====

Model Q:
## TbTlB4 (PBE)

Data for an optimized crystal structure of TbTlB4.

Calculated values
Density ... 8.301 Mg/m³
Crystal system ... hexagonal

CIF file:
```
data_TbTlB4
_cell_length_a 3.210
_cell_length_b 3.210
_cell_length_c 9.114
_cell_angle_alpha 90.00
_cell_angle_beta 90.00
_cell_angle_gamma 120.00
_symmetry_space_group_name_H-M 'P 1'
_symmetry_Int_Tables_number 1
loop_
_symmetry_equiv_pos_as_xyz
'x,y,z'
loop_
_atom_site_label
_atom_site_type_symbol
_atom_site_fract_x
_atom_site_fract_y
_atom_site_fract_z
B1 B 0.667 0.333 0.289
B2 B 0.333 0.667 0.289
B3 B 0.667 0.333 0.711
B4 B 0.333 0.667 0.711
Tb1 Tb 0.000 0.000 0.500
Tl1 Tl 0.000 0.000 0.000
```

=====

In terms of stability, model P leads; the second structure lies 0.119 eV/atom higher.

=====

Model P:
## TbTmB4 (PBE)

Data for an optimized crystal structure of TbTmB4.

Calculated values
Density ... 8.624 Mg/m³
Crystal system ... orthorhombic

CIF file:
```
data_TbTmB4
_cell_length_a 5.045
_cell_length_b 5.045
_cell_length_c 5.045
_cell_angle_alpha 142.04
_cell_angle_beta 111.42
_cell_angle_gamma 81.16
_symmetry_space_group_name_H-M 'P 1'
_symmetry_Int_Tables_number 1
loop_
_symmetry_equiv_pos_as_xyz
'x,y,z'
loop_
_atom_site_label
_atom_site_type_symbol
_atom_site_fract_x
_atom_site_fract_y
_atom_site_fract_z
B1 B 0.582 0.249 0.333
B2 B 0.084 0.751 0.333
B3 B 0.916 0.249 0.667
B4 B 0.418 0.751 0.667
Tb1 Tb 0.000 0.000 0.000
Tm1 Tm 0.500 0.500 0.000
```

=====

Model Q:
## TbTmB4 (PBE)

Data for an optimized crystal structure of TbTmB4.

Calculated values
Density ... 8.632 Mg/m³
Crystal system ... hexagonal

CIF file:
```
data_TbTmB4
_cell_length_a 3.281
_cell_length_b 3.281
_cell_length_c 7.658
_cell_angle_alpha 90.00
_cell_angle_beta 90.00
_cell_angle_gamma 120.00
_symmetry_space_group_name_H-M 'P 1'
_symmetry_Int_Tables_number 1
loop_
_symmetry_equiv_pos_as_xyz
'x,y,z'
loop_
_atom_site_label
_atom_site_type_symbol
_atom_site_fract_x
_atom_site_fract_y
_atom_site_fract_z
B1 B 0.667 0.333 0.244
B2 B 0.333 0.667 0.244
B3 B 0.667 0.333 0.756
B4 B 0.333 0.667 0.756
Tb1 Tb 0.000 0.000 0.500
Tm1 Tm 0.000 0.000 0.000
```

=====

In terms of stability, model Q leads; the second structure lies 0.005 eV/atom higher.

=====

Model P:
## TcB (PBE)

Data for an optimized crystal structure of TcB.

Calculated values
Density ... 8.489 Mg/m³
Crystal system ... cubic

CIF file:
```
data_TcB
_cell_length_a 3.111
_cell_length_b 3.111
_cell_length_c 3.111
_cell_angle_alpha 120.00
_cell_angle_beta 90.00
_cell_angle_gamma 120.00
_symmetry_space_group_name_H-M 'P 1'
_symmetry_Int_Tables_number 1
loop_
_symmetry_equiv_pos_as_xyz
'x,y,z'
loop_
_atom_site_label
_atom_site_type_symbol
_atom_site_fract_x
_atom_site_fract_y
_atom_site_fract_z
B1 B 0.500 0.000 0.500
Tc1 Tc 0.000 0.000 0.000
```

=====

Model Q:
## TcB (PBE)

Data for an optimized crystal structure of TcB.

Calculated values
Density ... 7.365 Mg/m³
Crystal system ... hexagonal

CIF file:
```
data_TcB
_cell_length_a 3.637
_cell_length_b 3.637
_cell_length_c 4.283
_cell_angle_alpha 90.00
_cell_angle_beta 90.00
_cell_angle_gamma 120.00
_symmetry_space_group_name_H-M 'P 1'
_symmetry_Int_Tables_number 1
loop_
_symmetry_equiv_pos_as_xyz
'x,y,z'
loop_
_atom_site_label
_atom_site_type_symbol
_atom_site_fract_x
_atom_site_fract_y
_atom_site_fract_z
B1 B 0.333 0.667 0.437
B2 B 0.000 0.000 0.937
Tc1 Tc 0.000 0.000 0.438
Tc2 Tc 0.333 0.667 0.938
```

=====

In terms of stability, model Q leads; the second structure lies 0.046 eV/atom higher.